[1]
Material: Ba2TiSeS3
Method: DFT, PBE
State: optimized geometry

Structure (CIF):
```
data_Ba2TiSeS3
_symmetry_space_group_name_H-M 'I m m m'
_symmetry_Int_Tables_number 71
_symmetry_space_group_name_Hall '-I 2 2'
_cell_length_a 4.769
_cell_length_b 4.979
_cell_length_c 15.925
_cell_angle_alpha 90.00
_cell_angle_beta 90.00
_cell_angle_gamma 90.00
loop_
_atom_site_label
_atom_site_fract_x
_atom_site_fract_y
_atom_site_fract_z
Ba1 0.000 0.000 0.146
Ti1 0.000 0.000 0.500
Se1 0.000 0.500 0.500
S1 0.000 0.000 0.342
S2 0.000 0.500 0.000
```

Values from the calculation:
- formation energy from raw total energies (eV/atom) = -1.7023
- VASP energy (eV per formula unit) = -39.524
- total magnetization (Bohr magnetons per cell) = 0.00

***

[2]
Material: TeRuBr2
Method: DFT, PBE
State: optimized geometry

Structure (CIF):
```
data_TeRuBr2
_symmetry_space_group_name_H-M 'I 4/m m m'
_symmetry_Int_Tables_number 139
_symmetry_space_group_name_Hall '-I 4 2'
_cell_length_a 4.770
_cell_length_b 4.770
_cell_length_c 8.095
_cell_angle_alpha 90.00
_cell_angle_beta 90.00
_cell_angle_gamma 90.00
loop_
_atom_site_label
_atom_site_fract_x
_atom_site_fract_y
_atom_site_fract_z
Te1 0.000 0.000 0.000
Ru1 0.000 0.000 0.500
Br1 0.000 0.500 0.250
```

Values from the calculation:
- formation energy from raw total energies (eV/atom) = 0.9511
- VASP energy (eV per formula unit) = -11.959
- total magnetization (Bohr magnetons per cell) = 3.84

***

[3]
Material: ReCS2Cl
Method: DFT, PBE
State: optimized geometry

Structure (CIF):
```
data_ReCS2Cl
_symmetry_space_group_name_H-M 'P 4/m m m'
_symmetry_Int_Tables_number 123
_symmetry_space_group_name_Hall '-P 4 2'
_cell_length_a 4.554
_cell_length_b 4.554
_cell_length_c 4.928
_cell_angle_alpha 90.00
_cell_angle_beta 90.00
_cell_angle_gamma 90.00
loop_
_atom_site_label
_atom_site_fract_x
_atom_site_fract_y
_atom_site_fract_z
Re1 0.000 0.000 0.000
C1 0.500 0.500 0.500
S1 0.000 0.500 0.000
Cl1 0.000 0.000 0.500
```

Values from the calculation:
- formation energy from raw total energies (eV/atom) = 1.5230
- VASP energy (eV per formula unit) = -24.159
- total magnetization (Bohr magnetons per cell) = 1.82
- E above lowest polymorph (eV/atom) = 0.0000

***

[4]
Material: OsRu5W2
Method: DFT, PBE
State: optimized geometry

Structure (CIF):
```
data_OsRu5W2
_symmetry_space_group_name_H-M 'I 4/m m m'
_symmetry_Int_Tables_number 139
_symmetry_space_group_name_Hall '-I 4 2'
_cell_length_a 5.481
_cell_length_b 5.481
_cell_length_c 7.716
_cell_angle_alpha 90.00
_cell_angle_beta 90.00
_cell_angle_gamma 90.00
loop_
_atom_site_label
_atom_site_fract_x
_atom_site_fract_y
_atom_site_fract_z
Os1 0.000 0.000 0.000
Ru1 0.000 0.000 0.500
Ru2 0.250 0.250 0.250
W1 0.000 0.500 0.000
```

Values from the calculation:
- VASP energy (eV per formula unit) = -83.739
- total magnetization (Bohr magnetons per cell) = 0.00

***

[5]
Material: ScCrCl
Method: DFT, PBE
State: optimized geometry

Structure (CIF):
```
data_ScCrCl
_symmetry_space_group_name_H-M 'F -4 3 m'
_symmetry_Int_Tables_number 216
_symmetry_space_group_name_Hall 'F -4 2 3'
_cell_length_a 6.556
_cell_length_b 6.556
_cell_length_c 6.556
_cell_angle_alpha 90.00
_cell_angle_beta 90.00
_cell_angle_gamma 90.00
loop_
_atom_site_label
_atom_site_fract_x
_atom_site_fract_y
_atom_site_fract_z
Sc1 0.000 0.000 0.000
Cr1 0.250 0.250 0.250
Cl1 0.250 0.250 0.750
```

Values from the calculation:
- formation energy from raw total energies (eV/atom) = 0.4843
- VASP energy (eV per formula unit) = -16.349
- total magnetization (Bohr magnetons per cell) = 17.11
- E above lowest polymorph (eV/atom) = 0.8262

***

[6]
Material: PPb2C
Method: DFT, PBE
State: optimized geometry

Structure (CIF):
```
data_PPb2C
_symmetry_space_group_name_H-M 'F m -3 m'
_symmetry_Int_Tables_number 225
_symmetry_space_group_name_Hall '-F 4 2 3'
_cell_length_a 6.931
_cell_length_b 6.931
_cell_length_c 6.931
_cell_angle_alpha 90.00
_cell_angle_beta 90.00
_cell_angle_gamma 90.00
loop_
_atom_site_label
_atom_site_fract_x
_atom_site_fract_y
_atom_site_fract_z
P1 0.000 0.000 0.000
Pb1 0.250 0.250 0.250
C1 0.000 0.000 0.500
```

Values from the calculation:
- VASP energy (eV per formula unit) = -16.365
- total magnetization (Bohr magnetons per cell) = 0.00
- E above lowest polymorph (eV/atom) = 0.4625